Entry 1:
Here is a relaxed structure of KGaBr3 from the Alexandria database. Energies are from GGA-PBE.

- magnetic moment (μB per cell) = 0.000
- total energy (eV/f.u.) = -15.20
- polymorph energy (0 for the lowest one) (kJ/mol of formula units) = 0
- space-group type = P2_1/c (14)

Lattice parameters (Å, degrees): 7.8167 8.7128 10.9538 90.00 93.32 90.00
Closest atoms and distances in Å follow each position.
Positions (direct):
Br  0.1716  0.6963  0.9658  1 Ga 2.42
Br  0.1294  0.6829  0.5827  1 Ga 2.44
Br  0.3706  0.1829  0.9173  1 Ga 2.44
Br  0.1244  0.0116  0.2363  1 Ga 2.41
Br  0.3756  0.5116  0.2637  1 Ga 2.41
Br  0.6294  0.8171  0.0827  1 Ga 2.44
Br  0.6244  0.4884  0.7363  1 Ga 2.41
Br  0.8284  0.3037  0.0342  1 Ga 2.42
Br  0.8706  0.3171  0.4173  1 Ga 2.44
Br  0.3284  0.1963  0.5342  1 Ga 2.42
Br  0.8756  0.9884  0.7637  1 Ga 2.41
Br  0.6716  0.8037  0.4658  1 Ga 2.42
Ga  0.4359  0.5978  0.0616  3 Br 2.41-2.44, 1 Ga 2.43
Ga  0.5641  0.4022  0.9384  3 Br 2.41-2.44, 1 Ga 2.43
Ga  0.9359  0.9022  0.5616  3 Br 2.41-2.44, 1 Ga 2.43
Ga  0.0641  0.0978  0.4384  3 Br 2.41-2.44, 1 Ga 2.43
K  0.9630  0.6291  0.2395  7 Br 3.38-3.78
K  0.4630  0.8709  0.7395  7 Br 3.38-3.78
K  0.0370  0.3709  0.7605  7 Br 3.38-3.78
K  0.5370  0.1291  0.2605  7 Br 3.38-3.78

---

Entry 2:
Here is a relaxed structure of In5HgI6 from the Alexandria database. Energies are from GGA-PBE.

- magnetic moment (μB per cell) = 0.000
- total energy (eV/f.u.) = -27.84
- space-group type = C2/m (12)

Lattice parameters (Å, degrees): 8.4309 8.4309 8.5516 99.49 99.49 119.85
Closest atoms and distances in Å follow each position.
Positions (direct):
In  0.5000  0.5000  0.5000  6 I 3.39-3.46
In  0.6656  0.3344  0.0000  6 I 3.45-3.48
In  0.3344  0.6656  0.0000  6 I 3.45-3.48
In  0.1686  0.8314  0.5000  6 I 3.37-3.48
In  0.8314  0.1686  0.5000  6 I 3.37-3.48
I  0.9149  0.5746  0.7441  5 In 3.37-3.48, 1 Hg 3.54
I  0.4254  0.0851  0.2559  5 In 3.37-3.48, 1 Hg 3.54
I  0.2554  0.2554  0.7443  5 In 3.39-3.48, 1 Hg 3.54
I  0.0851  0.4254  0.2559  5 In 3.37-3.48, 1 Hg 3.54
I  0.7446  0.7446  0.2557  5 In 3.39-3.48, 1 Hg 3.54
I  0.5746  0.9149  0.7441  5 In 3.37-3.48, 1 Hg 3.54
Hg  0.0000  0.0000  0.0000  6 I 3.54